Entry 1:
Below is Th4GeBi2Sb after structural relaxation, with properties calculated at the PBE-GGA level.

Properties
Uncorrected energy, eV/atom: -6.507
Raw formation energy, eV per atom: -0.7342

Structure (CIF):
```
data_Th4GeBi2Sb
_space_group_name_H-M_alt 'P 1 2/m 1'
_space_group_IT_number 10
_space_group_name_Hall '-P 2y'
_cell_length_a 7.7773
_cell_length_b 4.4672
_cell_length_c 7.8736
_cell_angle_alpha 90.00
_cell_angle_beta 109.04
_cell_angle_gamma 90.00
loop_
_atom_site_label
_atom_site_type_symbol
_atom_site_fract_x
_atom_site_fract_y
_atom_site_fract_z
Th1 Th 0.2294 0.0000 0.2237
Th2 Th 0.2434 0.5000 0.7694
Ge1 Ge 0.0000 0.5000 0.0000
Bi1 Bi 0.0000 0.0000 0.5000
Bi2 Bi 0.5000 0.5000 0.5000
Sb1 Sb 0.5000 0.0000 0.0000
```

Entry 2:
Below is Th6Ge3BiSb2 after structural relaxation, with properties calculated at the PBE-GGA level.

Properties
Uncorrected energy, eV/atom: -6.702
Raw formation energy, eV per atom: -0.8268

Structure (CIF):
```
data_Th6Ge3BiSb2
_space_group_name_H-M_alt 'C 1 2/m 1'
_space_group_IT_number 12
_space_group_name_Hall '-C 2y'
_cell_length_a 19.3944
_cell_length_b 4.3870
_cell_length_c 8.9123
_cell_angle_alpha 90.00
_cell_angle_beta 104.59
_cell_angle_gamma 90.00
loop_
_atom_site_label
_atom_site_type_symbol
_atom_site_fract_x
_atom_site_fract_y
_atom_site_fract_z
Th1 Th 0.0048 0.0000 0.2333
Th2 Th 0.1619 0.5000 0.0944
Th3 Th 0.1734 0.5000 0.5719
Ge1 Ge 0.0000 0.5000 0.0000
Ge2 Ge 0.1661 0.0000 0.3325
Bi1 Bi 0.0000 0.5000 0.5000
Sb1 Sb 0.1666 0.0000 0.8325
```

Entry 3:
Below is Th4GeBiSb2 after structural relaxation, with properties calculated at the PBE-GGA level.

Properties
Uncorrected energy, eV/atom: -6.601
Raw formation energy, eV per atom: -0.7983

Structure (CIF):
```
data_Th4GeBiSb2
_space_group_name_H-M_alt 'P 1 2/m 1'
_space_group_IT_number 10
_space_group_name_Hall '-P 2y'
_cell_length_a 7.7444
_cell_length_b 4.4579
_cell_length_c 7.8179
_cell_angle_alpha 90.00
_cell_angle_beta 109.18
_cell_angle_gamma 90.00
loop_
_atom_site_label
_atom_site_type_symbol
_atom_site_fract_x
_atom_site_fract_y
_atom_site_fract_z
Th1 Th 0.2351 0.0000 0.2295
Th2 Th 0.2461 0.5000 0.7666
Ge1 Ge 0.0000 0.5000 0.0000
Bi1 Bi 0.0000 0.0000 0.5000
Sb1 Sb 0.5000 0.0000 0.0000
Sb2 Sb 0.5000 0.5000 0.5000
```

Entry 4:
Below is Th4Ge2BiSb after structural relaxation, with properties calculated at the PBE-GGA level.

Properties
Uncorrected energy, eV/atom: -6.665
Raw formation energy, eV per atom: -0.8007

Structure (CIF):
```
data_Th4Ge2BiSb
_space_group_name_H-M_alt 'P 1 2/m 1'
_space_group_IT_number 10
_space_group_name_Hall '-P 2y'
_cell_length_a 7.6036
_cell_length_b 4.3910
_cell_length_c 7.7900
_cell_angle_alpha 90.00
_cell_angle_beta 109.05
_cell_angle_gamma 90.00
loop_
_atom_site_label
_atom_site_type_symbol
_atom_site_fract_x
_atom_site_fract_y
_atom_site_fract_z
Th1 Th 0.2386 0.0000 0.2232
Th2 Th 0.2550 0.5000 0.7741
Ge1 Ge 0.0000 0.5000 0.0000
Ge2 Ge 0.5000 0.0000 0.0000
Bi1 Bi 0.5000 0.5000 0.5000
Sb1 Sb 0.0000 0.0000 0.5000
```

Entry 5:
Below is Th6Ge2Bi3Sb after structural relaxation, with properties calculated at the PBE-GGA level.

Properties
Uncorrected energy, eV/atom: -6.531
Raw formation energy, eV per atom: -0.7376

Structure (CIF):
```
data_Th6Ge2Bi3Sb
_space_group_name_H-M_alt 'C 1 2/m 1'
_space_group_IT_number 12
_space_group_name_Hall '-C 2y'
_cell_length_a 19.6768
_cell_length_b 4.4452
_cell_length_c 9.0475
_cell_angle_alpha 90.00
_cell_angle_beta 104.46
_cell_angle_gamma 90.00
loop_
_atom_site_label
_atom_site_type_symbol
_atom_site_fract_x
_atom_site_fract_y
_atom_site_fract_z
Th1 Th 0.0115 0.0000 0.2515
Th2 Th 0.1689 0.5000 0.1094
Th3 Th 0.1745 0.5000 0.5673
Ge1 Ge 0.1676 0.0000 0.3339
Bi1 Bi 0.0000 0.5000 0.5000
Bi2 Bi 0.1615 0.0000 0.8333
Sb1 Sb 0.0000 0.5000 0.0000
```

Entry 6:
Below is VGeBiSb2 after structural relaxation, with properties calculated at the PBE-GGA level.

Properties
Uncorrected energy, eV/atom: -4.654
Raw formation energy, eV per atom: 0.5186

Structure (CIF):
```
data_VGeBiSb2
_space_group_name_H-M_alt 'P 4/m m m'
_space_group_IT_number 123
_space_group_name_Hall '-P 4 2'
_cell_length_a 5.1064
_cell_length_b 5.1064
_cell_length_c 5.3422
_cell_angle_alpha 90.00
_cell_angle_beta 90.00
_cell_angle_gamma 90.00
loop_
_atom_site_label
_atom_site_type_symbol
_atom_site_fract_x
_atom_site_fract_y
_atom_site_fract_z
V1 V 0.0000 0.0000 0.0000
Ge1 Ge 0.5000 0.5000 0.5000
Bi1 Bi 0.0000 0.0000 0.5000
Sb1 Sb 0.0000 0.5000 0.0000
```